No. 1
DFT (GGA-PBE) results for a geometry-optimized LaSc structure.

Output
Crystal system ... monoclinic
E_form ... 0.068 eV per atom
ρ ... 5.02 Mg/m³

Structure (CIF):
```
data_LaSc
_symmetry_space_group_name_H-M 'C 1 m 1'
_symmetry_Int_Tables_number 8
_cell_length_a 12.388
_cell_length_b 3.606
_cell_length_c 8.558
_cell_angle_alpha 90.00
_cell_angle_beta 107.47
_cell_angle_gamma 90.00
loop_
_symmetry_equiv_pos_as_xyz
'x,y,z'
'x,-y,z'
'x+1/2,y+1/2,z'
'x+1/2,-y+1/2,z'
loop_
_atom_site_label
_atom_site_fract_x
_atom_site_fract_y
_atom_site_fract_z
_atom_site_occupancy
La1 0.000 0.000 0.000 1
La2 0.132 0.500 0.369 1
La3 0.349 0.000 0.247 1
Sc1 0.022 0.000 0.615 1
Sc2 0.206 0.500 0.885 1
Sc3 0.318 0.000 0.669 1
```



No. 2
DFT (GGA-PBE) results for a geometry-optimized LaSc3 structure.

Output
Crystal system ... orthorhombic
E_form ... 0.070 eV per atom
ρ ... 4.24 Mg/m³

Structure (CIF):
```
data_LaSc3
_symmetry_space_group_name_H-M 'C m m m'
_symmetry_Int_Tables_number 65
_symmetry_space_group_name_Hall '-C 2 2'
_cell_length_a 6.763
_cell_length_b 9.251
_cell_length_c 3.431
_cell_angle_alpha 90.00
_cell_angle_beta 90.00
_cell_angle_gamma 90.00
loop_
_atom_site_label
_atom_site_fract_x
_atom_site_fract_y
_atom_site_fract_z
_atom_site_occupancy
La1 0.000 0.000 0.000 1
Sc1 0.000 0.500 0.000 1
Sc2 0.250 0.250 0.500 1
```



No. 3
DFT (GGA-PBE) results for a geometry-optimized La6Sc structure.

Output
Crystal system ... cubic
E_form ... 1.048 eV per atom
ρ ... 5.35 Mg/m³

Structure (CIF):
```
data_La6Sc
_symmetry_space_group_name_H-M 'I m -3 m'
_symmetry_Int_Tables_number 229
_symmetry_space_group_name_Hall '-I 4 2 3'
_cell_length_a 8.169
_cell_length_b 8.169
_cell_length_c 8.169
_cell_angle_alpha 90.00
_cell_angle_beta 90.00
_cell_angle_gamma 90.00
loop_
_atom_site_label
_atom_site_fract_x
_atom_site_fract_y
_atom_site_fract_z
_atom_site_occupancy
La1 0.000 0.250 0.500 1
Sc1 0.000 0.000 0.000 1
```